Record 1
# Tb5SbPd2, optimized geometry, DFT PBE-GGA
# Magnetization   0.0 μB/cell
# DFT total energy   -5.468 eV per atom
# Crystal system   tetragonal
data_Tb5SbPd2
_chemical_formula_sum 'Tb10 Sb2 Pd4'
_cell_length_a 8.773
_cell_length_b 8.773
_cell_length_c 8.773
_cell_angle_alpha 127.05
_cell_angle_beta 127.05
_cell_angle_gamma 78.17
_space_group_name_H-M_alt 'P 1'
_space_group_IT_number 1
loop_
_space_group_symop_operation_xyz
'x,y,z'
loop_
_atom_site_label
_atom_site_type_symbol
_atom_site_fract_x
_atom_site_fract_y
_atom_site_fract_z
Tb1 Tb 0.514 0.014 0.813
Tb2 Tb 0.701 0.514 0.500
Tb3 Tb 0.014 0.201 0.500
Tb4 Tb 0.799 0.299 0.813
Tb5 Tb 0.000 0.000 0.000
Tb6 Tb 0.986 0.799 0.500
Tb7 Tb 0.486 0.986 0.187
Tb8 Tb 0.299 0.486 0.500
Tb9 Tb 0.201 0.701 0.187
Tb10 Tb 0.500 0.500 0.000
Pd1 Pd 0.864 0.364 0.229
Pd2 Pd 0.136 0.636 0.771
Pd3 Pd 0.636 0.864 0.500
Pd4 Pd 0.364 0.136 0.500
Sb1 Sb 0.250 0.250 0.000
Sb2 Sb 0.750 0.750 0.000

***

Record 2
# Tb4SbPd2, optimized geometry, DFT PBE-GGA
# Magnetization   0.0 μB/cell
# DFT total energy   -5.469 eV per atom
# Crystal system   monoclinic
data_Tb4SbPd2
_chemical_formula_sum 'Tb8 Sb2 Pd4'
_cell_length_a 7.812
_cell_length_b 7.812
_cell_length_c 7.826
_cell_angle_alpha 108.25
_cell_angle_beta 108.18
_cell_angle_gamma 111.93
_space_group_name_H-M_alt 'P 1'
_space_group_IT_number 1
loop_
_space_group_symop_operation_xyz
'x,y,z'
loop_
_atom_site_label
_atom_site_type_symbol
_atom_site_fract_x
_atom_site_fract_y
_atom_site_fract_z
Pd1 Pd 0.513 0.376 0.639
Pd2 Pd 0.626 0.263 0.139
Pd3 Pd 0.124 0.487 0.861
Pd4 Pd 0.737 0.874 0.361
Sb1 Sb 0.000 0.000 0.000
Sb2 Sb 0.250 0.750 0.500
Tb1 Tb 0.854 0.611 0.110
Tb2 Tb 0.501 0.744 0.890
Tb3 Tb 0.387 0.499 0.241
Tb4 Tb 0.861 0.604 0.610
Tb5 Tb 0.259 0.147 0.760
Tb6 Tb 0.994 0.251 0.390
Tb7 Tb 0.396 0.009 0.260
Tb8 Tb 0.749 0.136 0.740

***

Please write out number 2 again, unchanged.
# Tb4SbPd2, optimized geometry, DFT PBE-GGA
# Magnetization   0.0 μB/cell
# DFT total energy   -5.469 eV per atom
# Crystal system   monoclinic
data_Tb4SbPd2
_chemical_formula_sum 'Tb8 Sb2 Pd4'
_cell_length_a 7.812
_cell_length_b 7.812
_cell_length_c 7.826
_cell_angle_alpha 108.25
_cell_angle_beta 108.18
_cell_angle_gamma 111.93
_space_group_name_H-M_alt 'P 1'
_space_group_IT_number 1
loop_
_space_group_symop_operation_xyz
'x,y,z'
loop_
_atom_site_label
_atom_site_type_symbol
_atom_site_fract_x
_atom_site_fract_y
_atom_site_fract_z
Pd1 Pd 0.513 0.376 0.639
Pd2 Pd 0.626 0.263 0.139
Pd3 Pd 0.124 0.487 0.861
Pd4 Pd 0.737 0.874 0.361
Sb1 Sb 0.000 0.000 0.000
Sb2 Sb 0.250 0.750 0.500
Tb1 Tb 0.854 0.611 0.110
Tb2 Tb 0.501 0.744 0.890
Tb3 Tb 0.387 0.499 0.241
Tb4 Tb 0.861 0.604 0.610
Tb5 Tb 0.259 0.147 0.760
Tb6 Tb 0.994 0.251 0.390
Tb7 Tb 0.396 0.009 0.260
Tb8 Tb 0.749 0.136 0.740